Record 1
# Sc2CrRu | Alexandria | GGA-PBE | optimized geometry
data_Sc2CrRu
_cell_length_a 3.0928
_cell_length_b 4.0966
_cell_length_c 5.6982
_cell_angle_alpha 90.00
_cell_angle_beta 103.92
_cell_angle_gamma 90.00
_symmetry_space_group_name_H-M 'P 1 m 1'
_symmetry_Int_Tables_number 6
_symmetry_space_group_name_Hall 'P -2y'
loop_
_atom_site_label
_atom_site_type_symbol
_atom_site_fract_x
_atom_site_fract_y
_atom_site_fract_z
Sc1 Sc 0.0000 0.0000 0.0000
Sc2 Sc 0.2703 0.5000 0.6665
Cr1 Cr 0.6758 0.5000 0.2345
Ru1 Ru 0.5807 0.0000 0.4309
# Formation enthalpy at 0 K (eV/atom): 0.03
# Uncorrected energy (eV per atom): -7.8618

=====

Record 2
# Sc2CrRu | Alexandria | GGA-PBE | optimized geometry
data_Sc2CrRu
_cell_length_a 3.0310
_cell_length_b 4.2389
_cell_length_c 5.5421
_cell_angle_alpha 90.00
_cell_angle_beta 90.00
_cell_angle_gamma 90.00
_symmetry_space_group_name_H-M 'P m m 2'
_symmetry_Int_Tables_number 25
_symmetry_space_group_name_Hall 'P 2 -2'
loop_
_atom_site_label
_atom_site_type_symbol
_atom_site_fract_x
_atom_site_fract_y
_atom_site_fract_z
Sc1 Sc 0.0000 0.0000 0.0000
Sc2 Sc 0.5000 0.5000 0.3182
Cr1 Cr 0.0000 0.0000 0.5350
Ru1 Ru 0.5000 0.5000 0.7969
# Formation enthalpy at 0 K (eV/atom): 0.12
# Uncorrected energy (eV per atom): -7.7730

=====

Record 3
# ScCr2Ru | Alexandria | GGA-PBE | optimized geometry
data_ScCr2Ru
_cell_length_a 3.0080
_cell_length_b 3.0080
_cell_length_c 6.3470
_cell_angle_alpha 90.00
_cell_angle_beta 90.00
_cell_angle_gamma 90.00
_symmetry_space_group_name_H-M 'P 4 m m'
_symmetry_Int_Tables_number 99
_symmetry_space_group_name_Hall 'P 4 -2'
loop_
_atom_site_label
_atom_site_type_symbol
_atom_site_fract_x
_atom_site_fract_y
_atom_site_fract_z
Sc1 Sc 0.0000 0.0000 0.0000
Cr1 Cr 0.0000 0.0000 0.4836
Cr2 Cr 0.5000 0.5000 0.2858
Ru1 Ru 0.5000 0.5000 0.7208
# Formation enthalpy at 0 K (eV/atom): 0.02
# Uncorrected energy (eV per atom): -8.6912

=====

Record 4
# ScCr2Ru | Alexandria | GGA-PBE | optimized geometry
data_ScCr2Ru
_cell_length_a 2.7988
_cell_length_b 4.0298
_cell_length_c 5.1624
_cell_angle_alpha 90.00
_cell_angle_beta 100.68
_cell_angle_gamma 90.00
_symmetry_space_group_name_H-M 'P 1 m 1'
_symmetry_Int_Tables_number 6
_symmetry_space_group_name_Hall 'P -2y'
loop_
_atom_site_label
_atom_site_type_symbol
_atom_site_fract_x
_atom_site_fract_y
_atom_site_fract_z
Sc1 Sc 0.0000 0.0000 0.0000
Cr1 Cr 0.5271 0.0000 0.4882
Cr2 Cr 0.7178 0.5000 0.2809
Ru1 Ru 0.2711 0.5000 0.7301
# Formation enthalpy at 0 K (eV/atom): 0.14
# Uncorrected energy (eV per atom): -8.5774

=====

Record 5
# Sc2CrRu | Alexandria | GGA-PBE | optimized geometry
data_Sc2CrRu
_cell_length_a 3.0734
_cell_length_b 3.0734
_cell_length_c 28.2036
_cell_angle_alpha 90.00
_cell_angle_beta 90.00
_cell_angle_gamma 120.00
_symmetry_space_group_name_H-M 'R -3 m'
_symmetry_Int_Tables_number 166
_symmetry_space_group_name_Hall '-R 3 2"'
loop_
_atom_site_label
_atom_site_type_symbol
_atom_site_fract_x
_atom_site_fract_y
_atom_site_fract_z
Sc1 Sc 0.0000 0.0000 0.0957
Cr1 Cr 0.0000 0.0000 0.0000
Ru1 Ru 0.0000 0.0000 0.5000
# Formation enthalpy at 0 K (eV/atom): 0.31
# Uncorrected energy (eV per atom): -7.5811

=====

Record 6
# ScCr2Ru | Alexandria | GGA-PBE | optimized geometry
data_ScCr2Ru
_cell_length_a 6.0692
_cell_length_b 6.0692
_cell_length_c 6.0692
_cell_angle_alpha 90.00
_cell_angle_beta 90.00
_cell_angle_gamma 90.00
_symmetry_space_group_name_H-M 'F m -3 m'
_symmetry_Int_Tables_number 225
_symmetry_space_group_name_Hall '-F 4 2 3'
loop_
_atom_site_label
_atom_site_type_symbol
_atom_site_fract_x
_atom_site_fract_y
_atom_site_fract_z
Sc1 Sc 0.0000 0.0000 0.0000
Cr1 Cr 0.2500 0.2500 0.2500
Ru1 Ru 0.0000 0.0000 0.5000
# Formation enthalpy at 0 K (eV/atom): 0.18
# Uncorrected energy (eV per atom): -8.5342

=====

Record 7
# ScCr2Ru | Alexandria | GGA-PBE | optimized geometry
data_ScCr2Ru
_cell_length_a 4.3598
_cell_length_b 4.3598
_cell_length_c 6.1572
_cell_angle_alpha 90.00
_cell_angle_beta 90.00
_cell_angle_gamma 90.00
_symmetry_space_group_name_H-M 'I -4 m 2'
_symmetry_Int_Tables_number 119
_symmetry_space_group_name_Hall 'I -4 -2'
loop_
_atom_site_label
_atom_site_type_symbol
_atom_site_fract_x
_atom_site_fract_y
_atom_site_fract_z
Sc1 Sc 0.0000 0.0000 0.0000
Cr1 Cr 0.0000 0.0000 0.5000
Cr2 Cr 0.0000 0.5000 0.7500
Ru1 Ru 0.0000 0.5000 0.2500
# Formation enthalpy at 0 K (eV/atom): 0.02
# Uncorrected energy (eV per atom): -8.6953

=====

Record 8
# Sc2CrRu | Alexandria | GGA-PBE | optimized geometry
data_Sc2CrRu
_cell_length_a 2.9774
_cell_length_b 2.9774
_cell_length_c 8.1379
_cell_angle_alpha 90.00
_cell_angle_beta 90.00
_cell_angle_gamma 90.00
_symmetry_space_group_name_H-M 'P 4 m m'
_symmetry_Int_Tables_number 99
_symmetry_space_group_name_Hall 'P 4 -2'
loop_
_atom_site_label
_atom_site_type_symbol
_atom_site_fract_x
_atom_site_fract_y
_atom_site_fract_z
Sc1 Sc 0.0000 0.0000 0.0000
Sc2 Sc 0.5000 0.5000 0.3669
Cr1 Cr 0.0000 0.0000 0.6004
Ru1 Ru 0.5000 0.5000 0.7646
# Formation enthalpy at 0 K (eV/atom): -0.07
# Uncorrected energy (eV per atom): -7.9605